[1]
A plane-wave DFT calculation with PBE was carried out for an optimized crystal structure of Si3SbCl.

Relative energy among the computed polymorphs, meV/atom: 0
Crystal system: cubic
Energy relative to the elements, uncorrected, meV/atom: 1086.5

Cell lengths 4.8390, 4.8390, 4.8390 Å; angles 90.00, 90.00, 90.00 degrees
Last column: nearest neighbours and their distance in Å.
Space group Pm-3m (No. 221)
Inequivalent atoms, fractional coordinates:
Si (0.0000, 0.0000, 0.5000) x3  2 Cl 2.42
Sb (0.5000, 0.5000, 0.5000) x1  12 Si 3.42
Cl (0.0000, 0.0000, 0.0000) x1  6 Si 2.42

=====

[2]
A plane-wave DFT calculation with PBE was carried out for an optimized crystal structure of CrB2Cl.

Relative energy among the computed polymorphs, meV/atom: 0
Crystal system: tetragonal
Energy relative to the elements, uncorrected, meV/atom: 1324.9

Cell lengths 5.0606, 5.0606, 8.8085 Å; angles 90.00, 90.00, 90.00 degrees
Last column: nearest neighbours and their distance in Å.
Space group I-42d (No. 122)
Inequivalent atoms, fractional coordinates:
Cr (0.0000, 0.0000, 0.0000) x4  4 B 2.04
B (0.2278, 0.2500, 0.1250) x8  2 Cr 2.04, 2 Cl 2.17
Cl (0.0000, 0.0000, 0.5000) x4  4 B 2.17

=====

[3]
A plane-wave DFT calculation with PBE was carried out for an optimized crystal structure of Ce7Rh3.

Crystal system: hexagonal

Cell lengths 9.7297, 9.7297, 6.1120 Å; angles 90.00, 90.00, 120.00 degrees
Last column: nearest neighbours and their distance in Å.
Space group P6_3mc (No. 186)
Inequivalent atoms, fractional coordinates:
Ce (0.0777, 0.5389, 0.0000) x6  2 Rh 2.84
Ce (0.1287, 0.2575, 0.7283) x6  3 Rh 2.78-3.00
Ce (0.3333, 0.6667, 0.5325) x2  3 Rh 2.99
Rh (0.1852, 0.3704, 0.2636) x6  6 Ce 2.78-3.00

=====

[4]
A plane-wave DFT calculation with PBE was carried out for an optimized crystal structure of Th4Fe2Bi.

Relative energy among the computed polymorphs, meV/atom: 0
Crystal system: orthorhombic

Cell lengths 4.4466, 12.4883, 13.2899 Å; angles 90.00, 90.00, 90.00 degrees
Last column: nearest neighbours and their distance in Å.
Space group Cmcm (No. 63)
Inequivalent atoms, fractional coordinates:
Th (0.0000, 0.0000, 0.0000) x4  4 Fe 2.71
Th (0.0000, 0.2683, 0.1042) x8  1 Fe 2.54
Th (0.0000, 0.4072, 0.7500) x4  2 Fe 2.67
Fe (0.0000, 0.3885, 0.5498) x8  4 Th 2.54-2.71
Bi (0.0000, 0.1052, 0.7500) x4  8 Th 3.33-3.57

=====

[5]
A plane-wave DFT calculation with PBE was carried out for an optimized crystal structure of TiV2Cl8.

Crystal system: monoclinic
Energy relative to the elements, uncorrected, meV/atom: -1202.6

Cell lengths 11.4396, 10.0008, 5.8570 Å; angles 90.00, 92.03, 90.00 degrees
Last column: nearest neighbours and their distance in Å.
Space group C2/m (No. 12)
Inequivalent atoms, fractional coordinates:
Ti (0.0000, 0.0000, 0.0000) x2  6 Cl 2.46-2.47
V (0.1859, 0.0000, 0.6593) x4  4 Cl 2.18-2.32
Cl (0.0904, 0.1825, 0.7844) x8  1 V 2.26, 1 Ti 2.47
Cl (0.1273, 0.5000, 0.2559) x4  1 V 2.18
Cl (0.1722, 0.0000, 0.2638) x4  1 V 2.32, 1 Ti 2.46

=====

[6]
A plane-wave DFT calculation with PBE was carried out for an optimized crystal structure of Mg4TlIn2.

Relative energy among the computed polymorphs, meV/atom: 37
Crystal system: monoclinic

Cell lengths 6.2352, 9.6153, 5.9344 Å; angles 90.00, 101.67, 90.00 degrees
Last column: nearest neighbours and their distance in Å.
Space group C2/m (No. 12)
Inequivalent atoms, fractional coordinates:
Mg (0.0000, 0.1850, 0.0000) x4  4 Mg 3.12-3.36, 4 In 3.24-3.38, 2 Tl 3.46
Mg (0.2500, 0.2500, 0.5000) x4  2 Tl 2.87, 4 Mg 3.12
Tl (0.0000, 0.0000, 0.5000) x2  4 Mg 2.87
In (0.0752, 0.5000, 0.7760) x4  2 In 2.99-3.22, 6 Mg 3.22-3.35

=====

[7]
A plane-wave DFT calculation with PBE was carried out for an optimized crystal structure of NaZr3Pt.

Crystal system: cubic

Cell lengths 4.8485, 4.8485, 4.8485 Å; angles 90.00, 90.00, 90.00 degrees
Last column: nearest neighbours and their distance in Å.
Space group Pm-3m (No. 221)
Inequivalent atoms, fractional coordinates:
Na (0.0000, 0.0000, 0.0000) x1  6 Zr 2.42
Zr (0.0000, 0.0000, 0.5000) x3  2 Na 2.42
Pt (0.5000, 0.5000, 0.5000) x1  12 Zr 3.43

=====

[8]
A plane-wave DFT calculation with PBE was carried out for an optimized crystal structure of MnAlH.

Relative energy among the computed polymorphs, meV/atom: 0
Crystal system: trigonal

Cell lengths 2.8799, 2.8799, 4.0907 Å; angles 90.00, 90.00, 120.00 degrees
Last column: nearest neighbours and their distance in Å.
Space group P3m1 (No. 156)
Inequivalent atoms, fractional coordinates:
Mn (0.0000, 0.0000, 0.0000) x1  3 H 1.75
Al (0.6667, 0.3333, 0.4849) x1  3 H 2.29
H (0.3333, 0.6667, 0.8701) x1  3 Mn 1.75

=====

[9]
A plane-wave DFT calculation with PBE was carried out for an optimized crystal structure of PmYTmZr.

Crystal system: cubic

Cell lengths 7.8066, 7.8066, 7.8066 Å; angles 90.00, 90.00, 90.00 degrees
Last column: nearest neighbours and their distance in Å.
Space group F-43m (No. 216)
Inequivalent atoms, fractional coordinates:
Pm (0.0000, 0.0000, 0.0000) x4  4 Y 3.38, 4 Zr 3.38
Y (0.2500, 0.2500, 0.7500) x4  4 Tm 3.38, 4 Pm 3.38
Tm (0.0000, 0.0000, 0.5000) x4  4 Zr 3.38, 4 Y 3.38
Zr (0.2500, 0.2500, 0.2500) x4  4 Pm 3.38, 4 Tm 3.38

=====

[10]
A plane-wave DFT calculation with PBE was carried out for an optimized crystal structure of TaCd2Co.

Relative energy among the computed polymorphs, meV/atom: 389
Crystal system: monoclinic

Cell lengths 5.5754, 9.5810, 2.7649 Å; angles 90.00, 106.21, 90.00 degrees
Last column: nearest neighbours and their distance in Å.
Space group C2/m (No. 12)
Inequivalent atoms, fractional coordinates:
Ta (0.0000, 0.0000, 0.0000) x2  2 Ta 2.76, 2 Co 2.79, 4 Cd 2.92
Cd (0.2500, 0.2500, 0.5000) x4  4 Cd 2.76-2.79, 2 Ta 2.92, 2 Co 2.92
Co (0.0000, 0.5000, 0.0000) x2  2 Co 2.76, 2 Ta 2.79, 4 Cd 2.92

=====

[11]
A plane-wave DFT calculation with PBE was carried out for an optimized crystal structure of ScBe4Au8.

Crystal system: tetragonal

Cell lengths 8.7603, 8.7603, 5.3068 Å; angles 90.00, 90.00, 90.00 degrees
Last column: nearest neighbours and their distance in Å.
Space group I4/mmm (No. 139)
Inequivalent atoms, fractional coordinates:
Sc (0.0000, 0.0000, 0.0000) x2  4 Au 2.78
Be (0.2500, 0.2500, 0.2500) x8  8 Au 2.57-2.63, 2 Be 2.65
Au (0.0000, 0.2241, 0.5000) x8  4 Be 2.57, 4 Au 2.78
Au (0.0000, 0.3173, 0.0000) x8  4 Be 2.63, 4 Au 2.78-2.90, 1 Sc 2.78

=====

[12]
A plane-wave DFT calculation with PBE was carried out for an optimized crystal structure of CdSi2Rh.

Crystal system: cubic
Energy relative to the elements, uncorrected, meV/atom: 280.0

Cell lengths 6.3585, 6.3585, 6.3585 Å; angles 90.00, 90.00, 90.00 degrees
Last column: nearest neighbours and their distance in Å.
Space group F-43m (No. 216)
Inequivalent atoms, fractional coordinates:
Cd (0.0000, 0.0000, 0.0000) x4  4 Rh 2.75, 4 Si 2.75
Si (0.0000, 0.0000, 0.5000) x4  4 Rh 2.75, 4 Si 2.75
Si (0.2500, 0.2500, 0.7500) x4  4 Cd 2.75, 4 Si 2.75
Rh (0.2500, 0.2500, 0.2500) x4  4 Cd 2.75, 4 Si 2.75

=====

| no. | total DFT energy (no corrections) (eV/atom) | spin magnetization (Bohr magnetons per cell) |
| --- | --- | --- |
| 1 | -3.361 | 0.0 |
| 2 | -4.881 | 6.6 |
| 3 | -6.813 | 7.3 |
| 4 | -7.493 | 0.0 |
| 5 | -4.921 | 8.0 |
| 6 | -2.018 | 0.0 |
| 7 | -5.207 | 0.0 |
| 8 | -5.535 | 2.2 |
| 9 | -5.837 | 9.8 |
| 10 | -4.736 | 3.3 |
| 11 | -3.893 | 0.0 |
| 12 | -4.498 | 0.0 |